VASP calculation (PBE-GGA) on an optimized crystal structure of BaZr2Zn.

Summary:
Calculated formation energy, eV/atom: 0.25
DFT total energy, eV/f.u.: -19.273

Cell lengths 3.4375, 3.4375, 8.8664 Å; angles 90.00, 90.00, 90.11 degrees
Atoms (fractional coordinates):
Ba: 0.0000 0.0000 0.0000
Zr: 0.5000 0.5000 0.3250
Zr: 0.5000 0.5000 0.6750
Zn: 0.0000 0.0000 0.5000